# K2AlTeO6

A geometry-optimized K2AlTeO6 structure (GGA-PBE, the Alexandria database).

Computed properties:
Uncorrected energy, eV per formula unit: -54.721
ΔE_f (raw), kJ/mol of atoms: -153.34

Cell: 9.972 9.972 9.972 Å, 33.40 33.40 33.40°
Element x y z (fractional)
K1 0.132 0.132 0.132
K2 0.283 0.283 0.283
K3 0.717 0.717 0.717
K4 0.868 0.868 0.868
Al1 0.000 0.000 0.000
Al2 0.500 0.500 0.500
Te1 0.406 0.406 0.406
Te2 0.594 0.594 0.594
O1 0.166 0.599 0.599
O2 0.204 0.204 0.709
O3 0.204 0.709 0.204
O4 0.291 0.796 0.796
O5 0.401 0.401 0.834
O6 0.401 0.834 0.401
O7 0.599 0.166 0.599
O8 0.599 0.599 0.166
O9 0.709 0.204 0.204
O10 0.796 0.291 0.796
O11 0.796 0.796 0.291
O12 0.834 0.401 0.401

# YAgTe2

A geometry-optimized YAgTe2 structure (GGA-PBE, the Alexandria database).

Computed properties:
Uncorrected energy, eV per formula unit: -19.230
ΔE_f (raw), kJ/mol of atoms: -87.60

Cell: 4.500 4.500 7.359 Å, 90.00 90.00 120.00°
Element x y z (fractional)
Y1 0.000 0.000 0.000
Ag1 0.333 0.667 0.402
Te1 0.333 0.667 0.779
Te2 0.667 0.333 0.246

# YMo2Rh

A geometry-optimized YMo2Rh structure (GGA-PBE, the Alexandria database).

Computed properties:
Energy relative to the lowest polymorph listed for this composition, kJ per mole of atoms: 16.75
Uncorrected energy, eV per formula unit: -34.919
Calculated formation energy, eV/atom: 0.14

Cell: 5.315 5.315 4.930 Å, 117.16 117.16 36.66°
Element x y z (fractional)
Y1 0.000 0.000 0.000
Mo1 0.222 0.222 0.719
Mo2 0.511 0.511 0.511
Rh1 0.766 0.766 0.266

# Sr2Zn3InSn4

A geometry-optimized Sr2Zn3InSn4 structure (GGA-PBE, the Alexandria database).

Computed properties:
Uncorrected energy, eV per formula unit: -29.147
Calculated formation energy, eV/atom: -0.32

Cell: 4.790 4.790 11.549 Å, 90.00 90.00 90.00°
Element x y z (fractional)
Sr1 0.000 0.500 0.246
Sr2 0.500 0.000 0.754
Zn1 0.000 0.500 0.870
Zn2 0.500 0.000 0.130
Zn3 0.500 0.500 0.500
In1 0.000 0.000 0.500
Sn1 0.000 0.000 0.000
Sn2 0.000 0.500 0.641
Sn3 0.500 0.000 0.359
Sn4 0.500 0.500 0.000

# RbSb2S3

A geometry-optimized RbSb2S3 structure (GGA-PBE, the Alexandria database).

Computed properties:
Uncorrected energy, eV per formula unit: -23.195
ΔE_f (raw), kJ/mol of atoms: -25.73

Cell: 7.800 7.800 6.753 Å, 90.00 90.00 86.65°
Element x y z (fractional)
Rb1 0.170 0.830 0.750
Rb2 0.830 0.170 0.250
Sb1 0.316 0.316 0.000
Sb2 0.316 0.316 0.500
Sb3 0.684 0.684 0.000
Sb4 0.684 0.684 0.500
S1 0.061 0.325 0.750
S2 0.325 0.061 0.250
S3 0.425 0.575 0.250
S4 0.575 0.425 0.750
S5 0.675 0.939 0.750
S6 0.939 0.675 0.250

# CuHgOs2

A geometry-optimized CuHgOs2 structure (GGA-PBE, the Alexandria database).

Computed properties:
Uncorrected energy, eV per formula unit: -23.305
Calculated formation energy, eV/atom: 0.89

Cell: 2.999 2.999 6.853 Å, 90.00 90.00 90.00°
Element x y z (fractional)
Cu1 0.000 0.000 0.000
Hg1 0.000 0.000 0.500
Os1 0.500 0.500 0.199
Os2 0.500 0.500 0.801